VASP calculation (PBEsol) on crystalline InRhBr2 at its relaxed geometry.

Raw formation energy (meV/atom): -11
Spin magnetization (μB/cell): 0.00
Calculated density (g/cm³): 6.0
Energy above the most stable polymorph in this dataset (eV per atom): 0.2113

Unit cell a=3.3603 b=5.8753 c=5.8753 alpha=73.76 beta=73.38 gamma=73.38
Last column: nearest neighbours and their distance in Å.
Atoms (fractional coordinates):
Rh (0.7465, 0.7535, 0.7535)  2 Br 2.37, 2 In 2.65
Br (0.0561, 0.9439, 0.9439)  2 Rh 2.37
Br (0.2175, 0.2825, 0.2825)  2 In 2.68
In (0.4799, 0.5201, 0.5201)  2 Rh 2.65, 2 Br 2.68



VASP calculation (PBEsol) on crystalline YNb3Ni at its relaxed geometry.

Spin magnetization (μB/cell): 0.00
Formation energy (eV per atom): 0.666
Calculated density (g/cm³): 6.8

Unit cell a=4.6945 b=4.6945 c=4.6945 alpha=90.00 beta=90.00 gamma=90.00
Last column: nearest neighbours and their distance in Å.
Atoms (fractional coordinates):
Y (0.5000, 0.5000, 0.5000)  12 Nb 3.32
Ni (0.0000, 0.0000, 0.0000)  6 Nb 2.35
Nb (0.0000, 0.5000, 0.0000)  2 Ni 2.35
Nb (0.0000, 0.0000, 0.5000)  2 Ni 2.35
Nb (0.5000, 0.0000, 0.0000)  2 Ni 2.35



What is the calculated density in the second record?
6.8 g/cm³